<one>
The following is a DFT calculation (PBE-GGA) of LaPr2Er2 after structural relaxation.

abc: 4.221 4.221 19.254
angles: 90.00 90.00 90.00
Space group I4/mmm (No. 139)
Asymmetric unit:
1 La 0.000 0.000 0.000 x2
2 Pr 0.000 0.000 0.195 x4
3 Er 0.000 0.000 0.399 x4

* volume: 343 Å³/cell

***

<two>
The following is a DFT calculation (PBE-GGA) of LaPr2Er2 after structural relaxation.

abc: 5.899 7.171 16.511
angles: 90.00 90.00 90.00
Space group Imma (No. 74)
Asymmetric unit:
1 La 0.000 0.250 0.110 x4
2 Pr 0.000 0.004 0.690 x8
3 Er 0.000 0.250 0.500 x4
4 Er 0.000 0.250 0.885 x4

* volume: 698 Å³/cell

***

Which one is most stable, and which one is least stable? <one> is the most stable of them, while <two> is the least stable.

***

<one>
The following is a DFT calculation (PBE-GGA) of LaPr8Er2 after structural relaxation.

abc: 9.254 16.844 6.098
angles: 90.00 124.21 90.00
Space group C2/m (No. 12)
Asymmetric unit:
1 La 0.000 0.000 0.000 x2
2 Pr 0.000 0.206 0.000 x4
3 Pr 0.077 0.500 0.796 x4
4 Pr 0.219 0.121 0.685 x8
5 Er 0.000 0.311 0.500 x4

* volume: 786 Å³/cell

***

<two>
The following is a DFT calculation (PBE-GGA) of LaPr8Er2 after structural relaxation.

abc: 5.732 8.472 16.184
angles: 90.00 90.00 90.00
Space group Immm (No. 71)
Asymmetric unit:
1 La 0.000 0.000 0.000 x2
2 Pr 0.000 0.205 0.500 x4
3 Pr 0.000 0.297 0.140 x8
4 Pr 0.000 0.500 0.338 x4
5 Er 0.000 0.000 0.300 x4

* volume: 786 Å³/cell

***

Which one is most stable, and which one is least stable? <two> is the most stable of them, while <one> is the least stable.

***

<one>
The following is a DFT calculation (PBE-GGA) of La2Pr7Er3 after structural relaxation.

abc: 5.997 3.670 19.312
angles: 90.00 93.74 90.00
Space group P2/m (No. 10)
Asymmetric unit:
1 La 0.197 0.000 0.299 x2
2 Pr 0.171 0.500 0.143 x2
3 Pr 0.241 0.000 0.465 x2
4 Pr 0.327 0.000 0.821 x2
5 Pr 0.500 0.500 0.000 x1
6 Er 0.000 0.000 0.000 x1
7 Er 0.288 0.500 0.630 x2

* volume: 424 Å³/cell

***

<two>
The following is a DFT calculation (PBE-GGA) of La2Pr7Er3 after structural relaxation.

abc: 6.561 3.608 17.857
angles: 90.00 95.62 90.00
Space group P2/m (No. 10)
Asymmetric unit:
1 La 0.059 0.000 0.170 x2
2 Pr 0.000 0.500 0.500 x1
3 Pr 0.229 0.000 0.670 x2
4 Pr 0.258 0.000 0.995 x2
5 Pr 0.281 0.500 0.336 x2
6 Er 0.456 0.500 0.841 x2
7 Er 0.500 0.000 0.500 x1

* volume: 421 Å³/cell

***

Which one is most stable, and which one is least stable? <two> is the most stable of them, while <one> is the least stable.

***

<one>
The following is a DFT calculation (PBE-GGA) of La2Pr5Er12 after structural relaxation.

abc: 17.874 8.649 8.947
angles: 90.00 110.91 90.00
Space group C2/m (No. 12)
Asymmetric unit:
1 La 0.000 0.174 0.000 x4
2 Pr 0.000 0.500 0.500 x2
3 Pr 0.210 0.000 0.196 x4
4 Pr 0.248 0.000 0.791 x4
5 Er 0.036 0.000 0.682 x4
6 Er 0.056 0.500 0.179 x4
7 Er 0.133 0.312 0.862 x8
8 Er 0.143 0.225 0.463 x8

* volume: 1292 Å³/cell

***

<two>
The following is a DFT calculation (PBE-GGA) of La2Pr5Er12 after structural relaxation.

abc: 6.206 9.532 10.741
angles: 78.91 84.40 89.96
Space group P-1 (No. 2)
Asymmetric unit:
1 La 0.081 0.319 0.026 x2
2 Pr 0.238 0.947 0.080 x2
3 Pr 0.340 0.368 0.448 x2
4 Pr 0.500 0.000 0.500 x1
5 Er 0.025 0.105 0.344 x2
6 Er 0.132 0.526 0.709 x2
7 Er 0.183 0.737 0.396 x2
8 Er 0.288 0.158 0.761 x2
9 Er 0.396 0.579 0.133 x2
10 Er 0.444 0.788 0.814 x2

* volume: 620 Å³/cell

***

Which one is most stable, and which one is least stable? <two> is the most stable of them, while <one> is the least stable.

***

<one>
The following is a DFT calculation (PBE-GGA) of LaPr2Er7 after structural relaxation.

abc: 8.583 16.939 5.388
angles: 90.00 90.00 90.00
Space group Cmmm (No. 65)
Asymmetric unit:
1 La 0.000 0.000 0.000 x2
2 Pr 0.000 0.298 0.500 x4
3 Er 0.000 0.206 0.000 x4
4 Er 0.000 0.500 0.500 x2
5 Er 0.178 0.111 0.500 x8

* volume: 783 Å³/cell

***

<two>
The following is a DFT calculation (PBE-GGA) of LaPr2Er7 after structural relaxation.

abc: 5.490 7.061 9.489
angles: 111.77 106.80 90.02
Space group P-1 (No. 2)
Asymmetric unit:
1 La 0.000 0.000 0.000 x1
2 Pr 0.198 0.699 0.398 x2
3 Er 0.000 0.500 0.000 x1
4 Er 0.202 0.201 0.402 x2
5 Er 0.392 0.144 0.784 x2
6 Er 0.392 0.640 0.785 x2

* volume: 325 Å³/cell

***

Which one is most stable, and which one is least stable? <two> is the most stable of them, while <one> is the least stable.

***

<one>
The following is a DFT calculation (PBE-GGA) of LaPr3Er7 after structural relaxation.

abc: 12.679 11.269 5.867
angles: 90.00 117.47 90.00
Space group C2/m (No. 12)
Asymmetric unit:
1 La 0.000 0.000 0.000 x2
2 Pr 0.000 0.288 0.500 x4
3 Pr 0.000 0.500 0.000 x2
4 Er 0.000 0.000 0.500 x2
5 Er 0.204 0.500 0.703 x4
6 Er 0.213 0.309 0.213 x8

* volume: 744 Å³/cell

***

<two>
The following is a DFT calculation (PBE-GGA) of LaPr3Er7 after structural relaxation.

abc: 6.550 6.672 8.678
angles: 98.61 99.27 94.83
Space group P-1 (No. 2)
Asymmetric unit:
1 La 0.000 0.000 0.000 x1
2 Pr 0.294 0.436 0.343 x2
3 Pr 0.500 0.000 0.500 x1
4 Er 0.000 0.500 0.000 x1
5 Er 0.055 0.205 0.642 x2
6 Er 0.233 0.719 0.719 x2
7 Er 0.486 0.240 0.911 x2

* volume: 368 Å³/cell

***

Which one is most stable, and which one is least stable? <two> is the most stable of them, while <one> is the least stable.